Record 1
DFT (PBE) results for a relaxed structure of Pr3Sm3Er.

Cell and atoms, written as POSCAR:
```
Pr3Sm3Er
1.0
-5.762 -0.658 0.894
-0.945 -3.855 -8.931
1.849 -5.794 7.653
Sm Pr Er
6 6 2
direct
0.250 0.096 0.479
0.250 0.384 0.904
0.750 0.616 0.096
0.250 0.521 0.616
0.750 0.479 0.384
0.750 0.904 0.521
0.250 0.806 0.048
0.250 0.952 0.757
0.750 0.048 0.243
0.250 0.243 0.194
0.750 0.194 0.952
0.750 0.757 0.806
0.750 0.333 0.667
0.250 0.667 0.333
```

Properties
- ΔE to the lowest computed polymorph: 0.0000 eV/atom
- Total moment: 0.000 μB per atom
- Fermi-level density of states: 11.556 states/eV/f.u.
- ΔE_f: 0.0276 eV/atom


Record 2
DFT (PBE) results for a relaxed structure of LaCrTc2.

Cell and atoms, written as POSCAR:
```
LaCrTc2
1.0
-0.225 -2.442 -3.911
3.544 -2.596 1.417
-3.745 0.445 2.662
Cr La Tc
1 1 2
direct
0.250 0.750 0.500
0.750 0.250 0.500
0.500 0.500 0.000
0.000 0.000 0.000
```

Properties
- ΔE to the lowest computed polymorph: 0.1785 eV/atom
- Total moment: 0.230 μB per atom
- Fermi-level density of states: 4.379 states/eV/f.u.
- ΔE_f: 0.4773 eV/atom


Record 3
DFT (PBE) results for a relaxed structure of Li5Ag8Ge.

Cell and atoms, written as POSCAR:
```
Li5Ag8Ge
1.0
-1.736 5.648 -3.344
-2.828 -5.409 -2.974
-2.182 0.519 6.408
Ag Ge Li
8 1 5
direct
0.530 0.601 0.272
0.671 0.399 0.930
0.728 0.259 0.329
0.926 0.090 0.667
0.333 0.259 0.424
0.576 0.910 0.835
0.165 0.741 0.074
0.070 0.741 0.470
0.250 0.500 0.750
0.795 0.658 0.698
0.040 0.342 0.137
0.863 0.903 0.205
0.302 0.097 0.960
0.500 0.000 0.500
```

Properties
- Total moment: 0.000 μB per atom
- Fermi-level density of states: 4.748 states/eV/f.u.
- ΔE_f: -0.0714 eV/atom


- Which of these has the lowest Fermi-level density of states?
  LaCrTc2


- Which value of Fermi-level density of states does entry 2 give?
  4.379 states/eV/f.u.


Copy entry 3 word for word.
DFT (PBE) results for a relaxed structure of Li5Ag8Ge.

Cell and atoms, written as POSCAR:
```
Li5Ag8Ge
1.0
-1.736 5.648 -3.344
-2.828 -5.409 -2.974
-2.182 0.519 6.408
Ag Ge Li
8 1 5
direct
0.530 0.601 0.272
0.671 0.399 0.930
0.728 0.259 0.329
0.926 0.090 0.667
0.333 0.259 0.424
0.576 0.910 0.835
0.165 0.741 0.074
0.070 0.741 0.470
0.250 0.500 0.750
0.795 0.658 0.698
0.040 0.342 0.137
0.863 0.903 0.205
0.302 0.097 0.960
0.500 0.000 0.500
```

Properties
- Total moment: 0.000 μB per atom
- Fermi-level density of states: 4.748 states/eV/f.u.
- ΔE_f: -0.0714 eV/atom